! Ta2SBr PBE optimized geometry; values from VASP
! Total magnetic moment   0.000 μB per atom
! Excess energy over the best structure of this formula in the dataset   0.0000 eV/atom
! Energy relative to the elements, uncorrected   0.176 eV/atom
&SYSTEM
  ibrav = 0, nat = 8, ntyp = 3
/
ATOMIC_SPECIES
S 32.06 S.upf
Br 79.90 Br.upf
Ta 180.95 Ta.upf
CELL_PARAMETERS angstrom
-0.210 -1.034 -4.319
-0.046 -4.323 1.038
-8.156 -2.509 -1.291
ATOMIC_POSITIONS angstrom
S -4.165 -4.755 -0.947
S -0.128 -2.679 -1.641
Br 0.000 0.000 0.000
Br -4.247 -3.111 -3.625
Ta -2.168 -1.775 -2.729
Ta -6.340 -6.406 -3.879
Ta -6.215 -4.054 -2.159
Ta -2.102 -3.498 -0.378